(1)
## BaAcPd10 (GGA-PBE)

Data for a relaxed BaAcPd10 crystal.

Results
- Size of the total moment: 0.000 μB per formula unit
- ΔH_f (0 K): -5.471 eV per formula unit

The structure in CIF format:
```
data_BaAcPd10
_symmetry_space_group_name_H-M 'P m m m'
_symmetry_Int_Tables_number 47
_cell_length_a 4.4669
_cell_length_b 5.5290
_cell_length_c 9.5828
_cell_angle_alpha 90.00
_cell_angle_beta 90.00
_cell_angle_gamma 90.00
loop_
_symmetry_equiv_pos_as_xyz
'x,y,z'
'-x,-y,-z'
'-x,-y,z'
'x,y,-z'
'x,-y,-z'
'-x,y,z'
'-x,y,-z'
'x,-y,z'
loop_
_atom_site_label
_atom_site_type_symbol
_atom_site_fract_x
_atom_site_fract_y
_atom_site_fract_z
Ba1 Ba 0.0000 0.0000 0.0000
Ac1 Ac 0.0000 0.5000 0.5000
Pd1 Pd 0.0000 0.0000 0.3383
Pd2 Pd 0.0000 0.5000 0.1725
Pd3 Pd 0.5000 0.0000 0.5000
Pd4 Pd 0.5000 0.2525 0.2549
Pd5 Pd 0.5000 0.5000 0.0000
```

***

(2)
## TiCuNi (GGA-PBE)

Data for a relaxed TiCuNi crystal.

Results
- Size of the total moment: 0.000 μB per formula unit
- ΔH_f (0 K): -0.587 eV per formula unit

The structure in CIF format:
```
data_TiCuNi
_symmetry_space_group_name_H-M 'P 3 m 1'
_symmetry_Int_Tables_number 156
_cell_length_a 4.1735
_cell_length_b 4.1735
_cell_length_c 2.5559
_cell_angle_alpha 90.00
_cell_angle_beta 90.00
_cell_angle_gamma 120.00
loop_
_symmetry_equiv_pos_as_xyz
'x,y,z'
'-y,x-y,z'
'-x+y,-x,z'
'-y,-x,z'
'-x+y,y,z'
'x,x-y,z'
loop_
_atom_site_label
_atom_site_type_symbol
_atom_site_fract_x
_atom_site_fract_y
_atom_site_fract_z
Ti1 Ti 0.0000 0.0000 0.0000
Cu1 Cu 0.3333 0.6667 0.5928
Ni1 Ni 0.6667 0.3333 0.3307
```